# 1
The following is a DFT calculation (PBE) of crystalline Tb6Er7Tm16 at its relaxed geometry.

Results
E in eV/atom: -4.276
DFT formation energy in eV per atom: 0.25
Space-group type: Fm-3m
ρ in Mg/m³: 8.600

Cell: 10.9645 10.9645 10.9645 Å, 60.00 60.00 60.00°
With the nearest neighbours (Å) after each atom.
Atoms (fractional coordinates):
Tb  0.2825  0.7175  0.2825  8 Tm 3.51-3.65, 4 Er 3.91
Tb  0.7175  0.2825  0.7175  8 Tm 3.51-3.65, 4 Er 3.91
Tb  0.7175  0.2825  0.2825  8 Tm 3.51-3.65, 4 Er 3.91
Tb  0.2825  0.7175  0.7175  8 Tm 3.51-3.65, 4 Er 3.91
Tb  0.7175  0.7175  0.2825  8 Tm 3.51-3.65, 4 Er 3.91
Tb  0.2825  0.2825  0.7175  8 Tm 3.51-3.65, 4 Er 3.91
Er  0.0000  0.0000  0.0000  8 Tm 3.28
Er  0.5000  0.0000  0.5000  8 Tm 3.19-3.38
Er  0.0000  0.5000  0.0000  8 Tm 3.19-3.38
Er  0.0000  0.5000  0.5000  8 Tm 3.19-3.38
Er  0.5000  0.0000  0.0000  8 Tm 3.19-3.38
Er  0.0000  0.0000  0.5000  8 Tm 3.19-3.38
Er  0.5000  0.5000  0.0000  8 Tm 3.19-3.38
Tm  0.8779  0.8779  0.3662  4 Er 3.28-3.38, 3 Tm 3.55, 3 Tb 3.65
Tm  0.8779  0.8779  0.8779  4 Er 3.28-3.38, 3 Tm 3.55, 3 Tb 3.65
Tm  0.8779  0.3662  0.8779  4 Er 3.28-3.38, 3 Tm 3.55, 3 Tb 3.65
Tm  0.3662  0.8779  0.8779  4 Er 3.28-3.38, 3 Tm 3.55, 3 Tb 3.65
Tm  0.1221  0.1221  0.1221  4 Er 3.28-3.38, 3 Tm 3.55, 3 Tb 3.65
Tm  0.1221  0.1221  0.6338  4 Er 3.28-3.38, 3 Tm 3.55, 3 Tb 3.65
Tm  0.1221  0.6338  0.1221  4 Er 3.28-3.38, 3 Tm 3.55, 3 Tb 3.65
Tm  0.6338  0.1221  0.1221  4 Er 3.28-3.38, 3 Tm 3.55, 3 Tb 3.65
Tm  0.6533  0.6533  0.0400  3 Er 3.19, 3 Tb 3.51, 3 Tm 3.55
Tm  0.6533  0.6533  0.6533  3 Er 3.19, 3 Tb 3.51, 3 Tm 3.55
Tm  0.6533  0.0400  0.6533  3 Er 3.19, 3 Tb 3.51, 3 Tm 3.55
Tm  0.0400  0.6533  0.6533  3 Er 3.19, 3 Tb 3.51, 3 Tm 3.55
Tm  0.3467  0.3467  0.3467  3 Er 3.19, 3 Tb 3.51, 3 Tm 3.55
Tm  0.3467  0.3467  0.9600  3 Er 3.19, 3 Tb 3.51, 3 Tm 3.55
Tm  0.3467  0.9600  0.3467  3 Er 3.19, 3 Tb 3.51, 3 Tm 3.55
Tm  0.9600  0.3467  0.3467  3 Er 3.19, 3 Tb 3.51, 3 Tm 3.55

---

# 2
The following is a DFT calculation (PBE) of crystalline LiAcPm2S4 at its relaxed geometry.

Results
E in eV/atom: -5.879
Uncorrected formation energy in eV per atom: -1.875
Space-group type: Cmcm
ρ in Mg/m³: 5.757

Cell: 4.0235 7.0107 13.9239 Å, 90.00 90.00 106.68°
With the nearest neighbours (Å) after each atom.
Atoms (fractional coordinates):
Li  0.8522  0.7044  0.7500  4 S 2.40
Li  0.1478  0.2956  0.2500  4 S 2.40
Ac  0.1181  0.2362  0.7500  6 S 3.02-3.04
Ac  0.8819  0.7638  0.2500  6 S 3.02-3.04
Pm  0.3671  0.7343  0.5552  6 S 2.80-2.93
Pm  0.6329  0.2657  0.0552  6 S 2.80-2.93
Pm  0.6329  0.2657  0.4448  6 S 2.80-2.93
Pm  0.3671  0.7343  0.9448  6 S 2.80-2.93
S  0.2711  0.5423  0.1257  1 Li 2.40
S  0.7289  0.4577  0.6257  1 Li 2.40
S  0.7289  0.4577  0.8743  1 Li 2.40
S  0.2711  0.5423  0.3743  1 Li 2.40
S  0.0000  0.0000  0.5000  4 Pm 2.80
S  0.0000  0.0000  0.0000  4 Pm 2.80
S  0.4502  0.9005  0.7500  2 Li 2.40
S  0.5498  0.0995  0.2500  2 Li 2.40

---

# 3
The following is a DFT calculation (PBE) of crystalline Na2TlCu2Cl6 at its relaxed geometry.

Results
E in eV/atom: -3.242
Uncorrected formation energy in eV per atom: -1.035
Space-group type: P-1
ρ in Mg/m³: 3.120

Cell: 7.3182 8.0408 7.6303 Å, 123.34 94.76 60.20°
With the nearest neighbours (Å) after each atom.
Atoms (fractional coordinates):
Na  0.8113  0.3677  0.8254  6 Cl 2.80-3.00
Na  0.1887  0.6323  0.1746  6 Cl 2.80-3.00
Tl  0.5000  0.0000  0.5000  6 Cl 3.18-3.21
Cu  0.1915  0.7355  0.7897  3 Cl 2.19-2.26
Cu  0.8085  0.2645  0.2103  3 Cl 2.19-2.26
Cl  0.3867  0.7888  0.0387  1 Cu 2.26
Cl  0.9242  0.4749  0.2185  1 Cu 2.21
Cl  0.2003  0.8708  0.6102  1 Cu 2.19
Cl  0.0758  0.5251  0.7815  1 Cu 2.21
Cl  0.7997  0.1292  0.3898  1 Cu 2.19
Cl  0.6133  0.2112  0.9613  1 Cu 2.26

---

# 4
The following is a DFT calculation (PBE) of crystalline Tm3PbSeS at its relaxed geometry.

Results
E in eV/atom: -5.465
Uncorrected formation energy in eV per atom: -1.343
Space-group type: P2_1/m
ρ in Mg/m³: 9.010

Cell: 4.1501 7.0129 10.6979 Å, 102.38 90.00 90.00°
With the nearest neighbours (Å) after each atom.
Atoms (fractional coordinates):
Tm  0.2500  0.7547  0.4927  3 S 2.71-2.73
Tm  0.7500  0.0481  0.1616  1 S 2.71, 3 Se 2.91-2.94
Tm  0.7500  0.5546  0.1728  1 S 2.69, 3 Se 2.93-2.97
Tm  0.7500  0.2453  0.5073  3 S 2.71-2.73
Tm  0.2500  0.4454  0.8272  1 S 2.69, 3 Se 2.93-2.97
Tm  0.2500  0.9519  0.8384  1 S 2.71, 3 Se 2.91-2.94
Pb  0.7500  0.6566  0.6926  7 Tm 3.08-3.16
Pb  0.2500  0.3434  0.3074  7 Tm 3.08-3.16
Se  0.2500  0.7630  0.0554  6 Tm 2.91-2.97
Se  0.7500  0.2370  0.9446  6 Tm 2.91-2.97
S  0.2500  0.1268  0.6354  5 Tm 2.69-2.73
S  0.7500  0.8732  0.3646  5 Tm 2.69-2.73

---

# 5
The following is a DFT calculation (PBE) of crystalline SrSnB at its relaxed geometry.

Results
E in eV/atom: -4.189
DFT formation energy in eV per atom: -0.07
Space-group type: C2/m
ρ in Mg/m³: 4.698

Cell: 4.8446 14.1988 9.8487 Å, 163.52 90.00 99.82°
With the nearest neighbours (Å) after each atom.
Atoms (fractional coordinates):
Sr  0.2837  0.5675  0.2525  5 B 3.05-3.24
Sr  0.7163  0.4325  0.7475  5 B 3.05-3.24
B  0.5441  0.0883  0.6940  1 B 1.53
B  0.4559  0.9117  0.3060  1 B 1.53
Sn  0.8096  0.6193  0.5869  1 B 2.32
Sn  0.1904  0.3807  0.4131  1 B 2.32

---

# 6
The following is a DFT calculation (PBE) of crystalline YCr2Fe at its relaxed geometry.

Results
E in eV/atom: -8.053
Relative energy among the computed polymorphs in meV per atom: 196
DFT formation energy in eV per atom: 0.49
Space-group type: Pmmm
ρ in Mg/m³: 6.395

Cell: 3.2218 4.2696 4.6958 Å, 90.00 90.00 90.00°
With the nearest neighbours (Å) after each atom.
Atoms (fractional coordinates):
Cr  0.0000  0.0000  0.0000  4 Cr 2.67, 4 Fe 2.85
Cr  0.5000  0.5000  0.0000  4 Cr 2.67, 4 Y 2.85
Fe  0.5000  0.0000  0.5000  4 Y 2.67, 4 Cr 2.85
Y  0.0000  0.5000  0.5000  4 Fe 2.67, 4 Cr 2.85

---

# 7
The following is a DFT calculation (PBE) of crystalline Ac12LaIr5 at its relaxed geometry.

Results
E in eV/atom: -5.886
DFT formation energy in eV per atom: -0.41
Space-group type: Cm
ρ in Mg/m³: 9.046

Cell: 7.5256 7.7699 13.8404 Å, 93.64 97.53 61.04°
With the nearest neighbours (Å) after each atom.
Atoms (fractional coordinates):
Ac  0.7814  0.0000  0.3794  3 Ir 3.02-3.03
Ac  0.1565  0.0000  0.6096  3 Ir 3.00
Ac  0.5423  0.0000  0.8317  2 Ir 3.08, 1 La 3.35
Ac  0.4009  0.0000  0.1125  2 Ir 2.95
Ac  0.3712  0.6213  0.8890  1 Ir 2.88
Ac  0.1357  0.5667  0.1425  2 Ir 3.05-3.13
Ac  0.9925  0.3787  0.8890  1 Ir 2.88
Ac  0.7024  0.4333  0.1425  2 Ir 3.05-3.13
Ac  0.5038  0.3456  0.6091  3 Ir 2.94-3.01
Ac  0.8493  0.6544  0.6091  3 Ir 2.94-3.01
Ac  0.1312  0.3182  0.3872  3 Ir 2.94-3.03
Ac  0.4493  0.6818  0.3872  3 Ir 2.94-3.03
La  0.8824  0.0000  0.0135  2 Ir 3.00, 1 Ac 3.35
Ir  0.4842  0.0000  0.5074  6 Ac 2.99-3.03
Ir  0.1423  0.6679  0.4926  6 Ac 2.94-3.03
Ir  0.8102  0.3321  0.4926  6 Ac 2.94-3.03
Ir  0.7291  0.7064  0.0025  5 Ac 2.88-3.13, 1 La 3.00
Ir  0.4354  0.2936  0.0026  5 Ac 2.88-3.13, 1 La 3.00

---

# 8
The following is a DFT calculation (PBE) of crystalline ThCo6Si2 at its relaxed geometry.

Results
E in eV/atom: -6.559
Uncorrected formation energy in eV per atom: 0.208
Space-group type: Fd-3m
ρ in Mg/m³: 7.915

Cell: 7.2485 7.2485 7.2485 Å, 60.00 60.00 60.00°
With the nearest neighbours (Å) after each atom.
Atoms (fractional coordinates):
Th  0.5000  0.5000  0.5000  6 Co 2.57
Th  0.7500  0.7500  0.7500  6 Co 2.57
Co  0.2496  0.2496  0.7504  2 Si 2.22
Co  0.7504  0.7504  0.2496  2 Si 2.22
Co  0.2496  0.7504  0.2496  2 Si 2.22
Co  0.2496  0.7504  0.7504  2 Si 2.22
Co  0.4996  0.4996  0.0004  2 Si 2.22
Co  0.4996  0.0004  0.0004  2 Si 2.22
Co  0.7504  0.2496  0.7504  2 Si 2.22
Co  0.0004  0.0004  0.4996  2 Si 2.22
Co  0.4996  0.0004  0.4996  2 Si 2.22
Co  0.0004  0.4996  0.4996  2 Si 2.22
Co  0.7504  0.2496  0.2496  2 Si 2.22
Co  0.0004  0.4996  0.0004  2 Si 2.22
Si  0.1250  0.1250  0.1250  6 Co 2.22
Si  0.1250  0.6250  0.1250  6 Co 2.22
Si  0.1250  0.1250  0.6250  6 Co 2.22
Si  0.6250  0.1250  0.1250  6 Co 2.22

---

- Among the records above, which one has the lowest ρ?
  Na2TlCu2Cl6

---

- Look up the ρ of the third one.
  3.120 Mg/m³

---

- What is the ρ in the second record?
  5.757 Mg/m³